[1]
{"formula": "B2SbPbAu", "functional": "PBE-GGA", "state": "optimized geometry", "final_energy_ev_per_cell": -19.0, "density_g_cm3": 8.14, "dos_ef_per_ev_atom": 0.470, "m_tot_mub_per_cell": 0.000, "lattice_angstrom": [[4.229, 0.000, 0.000], [0.000, 6.248, 0.000], [0.000, 0.000, 4.229]], "species": ["Pb", "Sb", "B", "B", "Au"], "fractional_positions": [[0.000, 0.500, 0.000], [0.500, 0.500, 0.500], [0.000, 0.000, 0.500], [0.500, 0.000, 0.000], [0.000, 0.000, 0.000]]}


[2]
{"formula": "SrB2PbAu", "functional": "PBE-GGA", "state": "optimized geometry", "final_energy_ev_per_cell": -12.7, "density_g_cm3": 6.00, "dos_ef_per_ev_atom": 1.196, "m_tot_mub_per_cell": 0.607, "formation_energy_mev_per_atom": 1862, "lattice_angstrom": [[-0.345, -4.235, -2.638], [5.663, -0.418, -0.071], [-0.141, -2.635, 4.249]], "species": ["Pb", "Sr", "B", "B", "Au"], "fractional_positions": [[0.500, 0.500, 0.500], [0.000, 0.000, 0.000], [0.000, 0.000, 0.500], [0.500, 0.000, 0.000], [0.000, 0.500, 0.000]]}


[3]
{"formula": "V2BPbAu", "functional": "PBE-GGA", "state": "optimized geometry", "final_energy_ev_per_cell": -30.5, "density_g_cm3": 10.78, "dos_ef_per_ev_atom": 1.082, "m_tot_mub_per_cell": 2.194, "formation_energy_mev_per_atom": 282, "lattice_angstrom": [[-2.495, -1.488, -3.155], [-2.396, -2.138, 2.903], [-2.556, 3.419, 0.408]], "species": ["Pb", "B", "Au", "V", "V"], "fractional_positions": [[0.500, 0.500, 0.500], [0.000, 0.000, 0.000], [0.000, 0.500, 0.000], [0.000, 0.000, 0.500], [0.500, 0.000, 0.000]]}


Repeat the second record exactly.
{"formula": "SrB2PbAu", "functional": "PBE-GGA", "state": "optimized geometry", "final_energy_ev_per_cell": -12.7, "density_g_cm3": 6.00, "dos_ef_per_ev_atom": 1.196, "m_tot_mub_per_cell": 0.607, "formation_energy_mev_per_atom": 1862, "lattice_angstrom": [[-0.345, -4.235, -2.638], [5.663, -0.418, -0.071], [-0.141, -2.635, 4.249]], "species": ["Pb", "Sr", "B", "B", "Au"], "fractional_positions": [[0.500, 0.500, 0.500], [0.000, 0.000, 0.000], [0.000, 0.000, 0.500], [0.500, 0.000, 0.000], [0.000, 0.500, 0.000]]}


Copy entry 1 word for word.
{"formula": "B2SbPbAu", "functional": "PBE-GGA", "state": "optimized geometry", "final_energy_ev_per_cell": -19.0, "density_g_cm3": 8.14, "dos_ef_per_ev_atom": 0.470, "m_tot_mub_per_cell": 0.000, "lattice_angstrom": [[4.229, 0.000, 0.000], [0.000, 6.248, 0.000], [0.000, 0.000, 4.229]], "species": ["Pb", "Sb", "B", "B", "Au"], "fractional_positions": [[0.000, 0.500, 0.000], [0.500, 0.500, 0.500], [0.000, 0.000, 0.500], [0.500, 0.000, 0.000], [0.000, 0.000, 0.000]]}